Entry from the Alexandria database: CaNpNiS4 after structural relaxation (GGA-PBE).

POSCAR file:
```
CaNpNiS4
1.0
6.4725 0.0000 0.0000
0.0000 5.5966 0.0000
-2.2081 0.0000 7.5818
Ca Np Ni S
2 2 2 8
Direct
0.2295 0.2500 0.4351
0.7705 0.7500 0.5649
0.2455 0.2500 0.9392
0.7545 0.7500 0.0608
0.2637 0.7500 0.1752
0.7363 0.2500 0.8248
0.0627 0.7500 0.3645
0.0736 0.7500 0.9015
0.4812 0.5134 0.7577
0.4812 0.9866 0.7577
0.5188 0.0134 0.2423
0.5188 0.4866 0.2423
0.9264 0.2500 0.0985
0.9373 0.2500 0.6355
```

Its density of states at the Fermi level is 1.313 states/eV/atom. As for the total energy: -45.6 eV/f.u. Its space group is No. 11. Its uncorrected formation energy is -1201 meV/atom.